# 1
Compound: Li2AgPd2
Source: the Alexandria database
Functional: SCAN
Structure: PBEsol geometry

Lattice parameters (Å, degrees): 7.074 7.074 2.846 90.00 90.00 90.00
Fractional coordinates of all 10 atoms:
Li (0.164, 0.336, 0.000)
Li (0.336, 0.836, 0.000)
Li (0.664, 0.164, 0.000)
Li (0.836, 0.664, 0.000)
Ag (0.000, 0.000, 0.500)
Ag (0.500, 0.500, 0.500)
Pd (0.135, 0.635, 0.500)
Pd (0.365, 0.135, 0.500)
Pd (0.635, 0.865, 0.500)
Pd (0.865, 0.365, 0.500)

## Properties
- ΔH_f (0 K) (meV/atom) = -247.1
- volume (A^3/atom) = 14.2

---

# 2
Compound: AgSe2F
Source: the Alexandria database
Functional: SCAN
Structure: PBEsol geometry

Lattice parameters (Å, degrees): 6.314 6.314 6.314 90.00 90.00 90.00
Fractional coordinates of all 16 atoms:
Ag (0.000, 0.000, 0.000)
Ag (0.000, 0.500, 0.500)
Ag (0.500, 0.000, 0.500)
Ag (0.500, 0.500, 0.000)
Se (0.250, 0.250, 0.250)
Se (0.250, 0.250, 0.750)
Se (0.250, 0.750, 0.250)
Se (0.250, 0.750, 0.750)
Se (0.750, 0.250, 0.250)
Se (0.750, 0.250, 0.750)
Se (0.750, 0.750, 0.250)
Se (0.750, 0.750, 0.750)
F (0.000, 0.000, 0.500)
F (0.000, 0.500, 0.000)
F (0.500, 0.000, 0.000)
F (0.500, 0.500, 0.500)

## Properties
- ΔE_f (raw) (eV per atom) = -0.072
- volume (A^3/atom) = 15.7

---

What did the second record say?
Compound: AgSe2F
Source: the Alexandria database
Functional: SCAN
Structure: PBEsol geometry

Lattice parameters (Å, degrees): 6.314 6.314 6.314 90.00 90.00 90.00
Fractional coordinates of all 16 atoms:
Ag (0.000, 0.000, 0.000)
Ag (0.000, 0.500, 0.500)
Ag (0.500, 0.000, 0.500)
Ag (0.500, 0.500, 0.000)
Se (0.250, 0.250, 0.250)
Se (0.250, 0.250, 0.750)
Se (0.250, 0.750, 0.250)
Se (0.250, 0.750, 0.750)
Se (0.750, 0.250, 0.250)
Se (0.750, 0.250, 0.750)
Se (0.750, 0.750, 0.250)
Se (0.750, 0.750, 0.750)
F (0.000, 0.000, 0.500)
F (0.000, 0.500, 0.000)
F (0.500, 0.000, 0.000)
F (0.500, 0.500, 0.500)

## Properties
- ΔE_f (raw) (eV per atom) = -0.072
- volume (A^3/atom) = 15.7

---

- Which of these has the lowest volume?
  Li2AgPd2

---

- Which value of volume does entry 1 give?
  14.2 A^3/atom

---

- volume of number 1 (Li2AgPd2)?
  14.2 A^3/atom